# 1
VASP calculation (GGA-PBEsol) on an optimized crystal structure of InAuNO2.

Results
Total moment ... 0.00 μB per atom
Total DFT energy (no corrections) ... -0.170 Ha/atom
SG ... P4/mmm, No. 123
D(E_F) ... 2.2 states/eV/f.u.

The structure in POSCAR format:
```
InAuNO2
1.0
-3.725 -0.259 -0.844
0.873 -2.662 -3.038
-0.381 -3.148 2.649
O Au N In
2 1 1 1
Cartesian
-0.191 -1.574 1.325 O
0.436 -1.331 -1.519 O
0.000 0.000 0.000 Au
-1.863 -0.129 -0.422 N
-1.617 -3.034 -0.616 In
```

=====

# 2
VASP calculation (GGA-PBEsol) on an optimized crystal structure of InTe2AuN.

Results
Total moment ... 0.32 μB per atom
Total DFT energy (no corrections) ... -0.125 Ha/atom
SG ... P4/mmm, No. 123
D(E_F) ... 4.7 states/eV/f.u.

The structure in POSCAR format:
```
InTe2AuN
1.0
-0.291 3.169 -2.257
1.280 -3.148 -4.585
-5.545 -1.082 -0.804
In N Te Au
1 1 2 1
Cartesian
0.000 0.000 0.000 In
-0.146 1.584 -1.128 N
0.640 -1.574 -2.292 Te
-2.773 -0.541 -0.402 Te
-2.278 -0.531 -3.823 Au
```